Material: ScCoPdO2
Method: DFT, GGA+U
State: relaxed

Summary:
SG ... No. 123
Theoretical density ... 4.77 g/cm³
DFT total energy ... -29.773 eV per formula unit
DOS at the Fermi energy ... 3.4 states/eV per cell

abc: 3.968 5.354 3.968
angles: 90.00 90.00 90.00
Site moments in Bohr magnetons follow the coordinates.
Fractional coordinates of all 5 atoms:
O 0.000 0.000 0.500  0.32
Sc 0.000 0.000 0.000  -0.05
Co 0.500 0.500 0.500  2.37
Pd 0.000 0.500 0.000  0.08
O 0.500 0.000 0.000  0.29